Below is a geometry-optimized ErNiSn structure, with properties calculated at the PBE-GGA level.

abc: 4.512 4.508 7.682
angles: 107.13 90.00 120.03
Fractional coordinates of all 6 atoms:
Er  0.262  0.523  0.785
Ni  0.865  0.731  0.596
Sn  0.000  0.000  0.000
Ni  0.135  0.269  0.404
Er  0.738  0.477  0.215
Sn  0.500  0.000  0.500

Output
ΔE_f, eV/atom: -0.550
Total magnetic moment, μB per formula unit: 0.0


Below is a geometry-optimized AlTl2Zn structure, with properties calculated at the PBE-GGA level.

abc: 3.331 3.331 9.157
angles: 90.00 90.00 106.59
Fractional coordinates of all 4 atoms:
Tl  0.000  0.000  0.007
Tl  0.000  0.000  0.493
Zn  0.500  0.500  0.250
Al  0.500  0.500  0.750

Output
ΔE_f, eV/atom: 0.263
Total magnetic moment, μB per formula unit: 0.0


- Which of these has the lowest ΔE_f?
  ErNiSn